A plane-wave DFT calculation with PBE was carried out for a geometry-optimized Cs2RbTl2 structure.

## Properties
Energy relative to the lowest polymorph listed for this composition (meV per atom): 131
Energy relative to the elements (eV per atom): 0.090
VASP energy (eV per atom): -1.392
DOS at the Fermi energy (states/eV/f.u.): 6.1

```
data_Cs2RbTl2
_chemical_formula_sum 'Cs4 Rb2 Tl4'
_symmetry_space_group_name_H-M 'P 1'
_symmetry_Int_Tables_number 1
_symmetry_space_group_name_Hall 'P 1'
_cell_length_a 11.373
_cell_length_b 11.373
_cell_length_c 4.318
_cell_angle_alpha 90.00
_cell_angle_beta 90.00
_cell_angle_gamma 90.00
loop_
_atom_site_label
_atom_site_type_symbol
_atom_site_fract_x
_atom_site_fract_y
_atom_site_fract_z
Cs1 Cs 0.142 0.358 0.000
Cs2 Cs 0.358 0.858 0.000
Cs3 Cs 0.642 0.142 0.000
Cs4 Cs 0.858 0.642 0.000
Rb1 Rb 0.000 0.000 0.000
Rb2 Rb 0.500 0.500 0.000
Tl1 Tl 0.152 0.652 0.500
Tl2 Tl 0.348 0.152 0.500
Tl3 Tl 0.652 0.848 0.500
Tl4 Tl 0.848 0.348 0.500
```

=====

A plane-wave DFT calculation with PBE was carried out for a geometry-optimized CdMo3 structure.

## Properties
Energy relative to the lowest polymorph listed for this composition (meV per atom): 228
Energy relative to the elements (eV per atom): 0.447
VASP energy (eV per atom): -7.905
DOS at the Fermi energy (states/eV/f.u.): 4.5

```
data_CdMo3
_chemical_formula_sum 'Cd1 Mo3'
_symmetry_space_group_name_H-M 'P 1'
_symmetry_Int_Tables_number 1
_symmetry_space_group_name_Hall 'P 1'
_cell_length_a 9.971
_cell_length_b 9.971
_cell_length_c 9.971
_cell_angle_alpha 16.29
_cell_angle_beta 16.29
_cell_angle_gamma 16.29
loop_
_atom_site_label
_atom_site_type_symbol
_atom_site_fract_x
_atom_site_fract_y
_atom_site_fract_z
Cd1 Cd 0.000 0.000 0.000
Mo1 Mo 0.246 0.246 0.246
Mo2 Mo 0.500 0.500 0.500
Mo3 Mo 0.754 0.754 0.754
```

=====

A plane-wave DFT calculation with PBE was carried out for a geometry-optimized RbTl6Hg12 structure.

## Properties
Energy relative to the lowest polymorph listed for this composition (meV per atom): 0
Energy relative to the elements (eV per atom): -0.054
VASP energy (eV per atom): -1.042
DOS at the Fermi energy (states/eV/f.u.): 6.8

```
data_RbTl6Hg12
_chemical_formula_sum 'Rb1 Tl6 Hg12'
_symmetry_space_group_name_H-M 'P 1'
_symmetry_Int_Tables_number 1
_symmetry_space_group_name_Hall 'P 1'
_cell_length_a 9.159
_cell_length_b 9.159
_cell_length_c 9.159
_cell_angle_alpha 110.61
_cell_angle_beta 110.61
_cell_angle_gamma 110.61
loop_
_atom_site_label
_atom_site_type_symbol
_atom_site_fract_x
_atom_site_fract_y
_atom_site_fract_z
Rb1 Rb 0.000 0.000 0.000
Tl1 Tl 0.046 0.345 0.554
Tl2 Tl 0.345 0.554 0.046
Tl3 Tl 0.446 0.954 0.655
Tl4 Tl 0.554 0.046 0.345
Tl5 Tl 0.655 0.446 0.954
Tl6 Tl 0.954 0.655 0.446
Hg1 Hg 0.114 0.735 0.178
Hg2 Hg 0.178 0.114 0.735
Hg3 Hg 0.215 0.487 0.330
Hg4 Hg 0.265 0.822 0.886
Hg5 Hg 0.330 0.215 0.487
Hg6 Hg 0.487 0.330 0.215
Hg7 Hg 0.513 0.670 0.785
Hg8 Hg 0.670 0.785 0.513
Hg9 Hg 0.735 0.178 0.114
Hg10 Hg 0.785 0.513 0.670
Hg11 Hg 0.822 0.886 0.265
Hg12 Hg 0.886 0.265 0.822
```